Entry 1:
DFT (PBE-GGA) results for a geometry-optimized LaY2F structure.

* magnetic moment: 0.0 μB/cell
* electronic total energy: -23.41 eV per formula unit
* DOS at the Fermi energy: 6.1 states/eV/cell
* space-group type: R-3m, No. 166
* uncorrected formation energy: -0.920 eV per atom

Unit cell a=3.638 b=3.638 c=9.770 alpha=79.27 beta=79.27 gamma=60.00
Atoms (fractional coordinates):
Y1 0.119 0.119 0.643
Y2 0.881 0.881 0.357
F1 0.500 0.500 0.500
La1 0.000 0.000 0.000

Entry 2:
DFT (PBE-GGA) results for a geometry-optimized La2YF structure.

* magnetic moment: 0.0 μB/cell
* electronic total energy: -22.55 eV per formula unit
* DOS at the Fermi energy: 8.1 states/eV/cell
* space-group type: I-42d, No. 122
* uncorrected formation energy: -1.090 eV per atom

Unit cell a=7.842 b=7.842 c=6.900 alpha=55.37 beta=55.37 gamma=90.00
Atoms (fractional coordinates):
Y1 0.750 0.250 0.500
Y2 0.000 0.000 0.000
La1 0.507 0.125 0.250
La2 0.875 0.757 0.750
La3 0.375 0.493 0.750
La4 0.243 0.625 0.250
F1 0.250 0.750 0.500
F2 0.500 0.500 0.000

Entry 3:
DFT (PBE-GGA) results for a geometry-optimized LaY2F structure.

* magnetic moment: 0.0 μB/cell
* electronic total energy: -24.01 eV per formula unit
* DOS at the Fermi energy: 5.1 states/eV/cell
* space-group type: I-42d, No. 122
* uncorrected formation energy: -1.072 eV per atom

Unit cell a=7.401 b=7.401 c=6.835 alpha=57.22 beta=57.22 gamma=90.00
Atoms (fractional coordinates):
La1 0.000 0.000 0.000
La2 0.750 0.250 0.500
Y1 0.875 0.728 0.750
Y2 0.478 0.125 0.250
Y3 0.272 0.625 0.250
Y4 0.375 0.522 0.750
F1 0.250 0.750 0.500
F2 0.500 0.500 0.000

Which value of DOS at the Fermi energy does entry 2 give? 8.1 states/eV/cell